Record 1
Ta2CrCu (GGA-PBE, relaxed); SG = No. 99; energy = -9.08 eV per atom
1.0
2.696 0.000 0.000
0.000 2.696 0.000
0.000 0.000 8.419
Ta Cr Cu
2 1 1
Cartesian
0.000 0.000 0.000
1.348 1.348 2.421
0.000 0.000 4.604
1.348 1.348 6.353

***

Record 2
TaAgRh3 (GGA-PBE, relaxed); polymorph energy (0 for the lowest one) = 0 meV/atom; SG = No. 221
1.0
4.719 0.000 0.000
0.000 4.719 0.000
0.000 0.000 4.719
Ta Ag Rh
1 1 3
Cartesian
0.000 0.000 0.000
2.360 2.360 2.360
0.000 0.000 2.360
0.000 2.360 0.000
2.360 0.000 0.000

***

| no. | calculated volume (A^3/atom) | total moment (μB/cell) | N(E_F) (states/eV/atom) |
| --- | --- | --- | --- |
| 1 | 15.30 | 0.00 | 0.586 |
| 2 | 21.02 | 0.00 | 0.638 |